1.
Material: Re2AgO
Method: DFT, PBE
State: relaxed

abc: 4.4915 4.4915 7.4963
angles: 72.57 72.57 90.00
Fractional coordinates of all 8 atoms:
Ag 0.0000 0.0000 0.0000
Ag 0.7500 0.2500 0.5000
Re 0.4878 0.1250 0.2500
Re 0.8750 0.7378 0.7500
Re 0.3750 0.5122 0.7500
Re 0.2622 0.6250 0.2500
O 0.2500 0.7500 0.5000
O 0.5000 0.5000 0.0000

Calculated values
Mass density: 12.0 g cm⁻³
Size of the total moment: 0.30 μB/f.u.
Raw formation energy: 921.9 meV per atom
Volume: 137.0 Å³ per cell
Energy: -58.04 eV per cell

2.
Material: LiYBr3
Method: DFT, PBE
State: relaxed

abc: 5.6186 5.6186 5.6186
angles: 90.00 90.00 90.00
Fractional coordinates of all 5 atoms:
Br 0.5000 0.0000 0.0000
Br 0.0000 0.0000 0.5000
Br 0.0000 0.5000 0.0000
Li 0.5000 0.5000 0.5000
Y 0.0000 0.0000 0.0000

Calculated values
Mass density: 3.1 g cm⁻³
Size of the total moment: 0.03 μB/f.u.
Raw formation energy: -1228.1 meV per atom
Volume: 177.4 Å³ per cell
Energy: -19.54 eV per cell
Energy relative to the lowest polymorph listed for this composition: 1.44 eV/f.u.

3.
Material: Mg2FePt
Method: DFT, PBE
State: relaxed

abc: 5.1894 5.1894 4.6895
angles: 72.91 72.91 32.51
Fractional coordinates of all 4 atoms:
Fe 0.7685 0.7685 0.7659
Pt 0.4841 0.4841 0.4798
Mg 0.0162 0.0162 0.9588
Mg 0.2312 0.2312 0.2955

Calculated values
Mass density: 7.7 g cm⁻³
Size of the total moment: 2.52 μB/f.u.
Volume: 64.6 Å³ per cell
Energy: -18.71 eV per cell

4.
Material: Li15Al2Cd2
Method: DFT, PBE
State: relaxed

abc: 7.3612 7.3612 7.3612
angles: 69.15 69.15 69.15
Fractional coordinates of all 19 atoms:
Li 0.2953 0.7047 0.0000
Li 0.5000 0.0000 0.0000
Li 0.1888 0.5642 0.5642
Li 0.4358 0.8112 0.4358
Li 0.7047 0.0000 0.2953
Li 0.7047 0.2953 0.0000
Li 0.8112 0.4358 0.4358
Li 0.0000 0.5000 0.0000
Li 0.0000 0.0000 0.5000
Li 0.5642 0.1888 0.5642
Li 0.0000 0.2953 0.7047
Li 0.0000 0.7047 0.2953
Li 0.4358 0.4358 0.8112
Li 0.2953 0.0000 0.7047
Li 0.5642 0.5642 0.1888
Al 0.0871 0.0871 0.0871
Al 0.9129 0.9129 0.9129
Cd 0.7164 0.7164 0.7164
Cd 0.2836 0.2836 0.2836

Calculated values
Mass density: 1.9 g cm⁻³
Size of the total moment: 0.00 μB/f.u.
Volume: 336.2 Å³ per cell
Energy: -38.37 eV per cell

5.
Material: KTcS2N
Method: DFT, PBE
State: relaxed

abc: 5.1471 5.1471 3.9502
angles: 90.00 90.00 90.00
Fractional coordinates of all 5 atoms:
S 0.0000 0.5000 0.0000
S 0.5000 0.0000 0.0000
K 0.0000 0.0000 0.0000
N 0.0000 0.0000 0.5000
Tc 0.5000 0.5000 0.5000

Calculated values
Mass density: 3.4 g cm⁻³
Size of the total moment: 0.36 μB/f.u.
Raw formation energy: 2681.4 meV per atom
Volume: 104.7 Å³ per cell
Energy: -14.64 eV per cell
Energy relative to the lowest polymorph listed for this composition: 14.09 eV/f.u.

6.
Material: KZr2Mo
Method: DFT, PBE
State: relaxed

abc: 3.1499 3.1499 11.1870
angles: 90.00 90.00 112.48
Fractional coordinates of all 4 atoms:
Zr 0.0000 0.0000 0.5657
Zr 0.0000 0.0000 0.9343
K 0.5000 0.5000 0.2500
Mo 0.5000 0.5000 0.7500

Calculated values
Mass density: 5.1 g cm⁻³
Size of the total moment: 0.00 μB/f.u.
Volume: 102.6 Å³ per cell
Energy: -27.29 eV per cell
Energy relative to the lowest polymorph listed for this composition: 0.58 eV/f.u.

7.
Material: In3Pb4
Method: DFT, PBE
State: relaxed

abc: 4.7269 6.0643 8.0345
angles: 99.46 90.00 112.94
Fractional coordinates of all 7 atoms:
In 0.6472 0.2944 0.9343
In 0.3528 0.7056 0.0657
In 0.5000 0.0000 0.5000
Pb 0.2145 0.4290 0.6434
Pb 0.9361 0.8722 0.7878
Pb 0.7855 0.5710 0.3566
Pb 0.0639 0.1278 0.2122

Calculated values
Mass density: 9.3 g cm⁻³
Size of the total moment: 0.00 μB/f.u.
Volume: 208.7 Å³ per cell
Energy: -22.95 eV per cell
Energy relative to the lowest polymorph listed for this composition: 0.02 eV/f.u.